A geometry-optimized Ac6Tl5In structure. Source: Alexandria, functional PBE.

Computed properties:
Distance to the lowest polymorph of the same formula   128 meV per atom
E_tot   -3.5063 eV/atom
ΔH_f (0 K)   -0.238 eV per atom
Total magnetic moment   0.0 Bohr magnetons per cell

a = 10.501 Å, b = 12.373 Å, c = 7.254 Å
α = 90.00°, β = 102.97°, γ = 90.00°
Space group C2/m (No. 12)
Asymmetric unit:
Ac (0.249, 0.000, 0.246) (multiplicity 4)
Ac (0.250, 0.166, 0.750) (multiplicity 8)
Tl (0.000, 0.000, 0.500) (multiplicity 2)
Tl (0.000, 0.171, 0.000) (multiplicity 4)
Tl (0.000, 0.336, 0.500) (multiplicity 4)
In (0.000, 0.500, 0.000) (multiplicity 2)

***

A geometry-optimized AcTlIn structure. Source: Alexandria, functional PBE.

Computed properties:
Distance to the lowest polymorph of the same formula   177 meV per atom
E_tot   -3.2797 eV/atom
ΔH_f (0 K)   -0.209 eV per atom
Total magnetic moment   0.0 Bohr magnetons per cell

a = 7.540 Å, b = 7.540 Å, c = 7.540 Å
α = 90.00°, β = 90.00°, γ = 90.00°
Space group F-43m (No. 216)
Asymmetric unit:
Ac (0.000, 0.000, 0.000) (multiplicity 4)
Tl (0.250, 0.250, 0.750) (multiplicity 4)
In (0.000, 0.000, 0.500) (multiplicity 4)

***

A geometry-optimized Ac3Tl4In structure. Source: Alexandria, functional PBE.

Computed properties:
E_tot   -3.2834 eV/atom
ΔH_f (0 K)   -0.217 eV per atom
Total magnetic moment   0.0 Bohr magnetons per cell

a = 3.979 Å, b = 10.088 Å, c = 14.116 Å
α = 90.00°, β = 90.00°, γ = 90.00°
Space group Immm (No. 71)
Asymmetric unit:
Ac (0.000, 0.000, 0.000) (multiplicity 2)
Ac (0.000, 0.500, 0.209) (multiplicity 4)
Tl (0.000, 0.263, 0.377) (multiplicity 8)
In (0.000, 0.000, 0.500) (multiplicity 2)

***

A geometry-optimized AcTl2In structure. Source: Alexandria, functional PBE.

Computed properties:
E_tot   -3.1400 eV/atom
ΔH_f (0 K)   -0.245 eV per atom
Total magnetic moment   0.0 Bohr magnetons per cell

a = 5.0902 Å, b = 5.0902 Å, c = 16.9123 Å
α = 90.00°, β = 90.00°, γ = 120.00°
Space group R-3m (No. 166, hexagonal axes)
Asymmetric unit:
Ac (0.0000, 0.0000, 0.0000) (multiplicity 3)
Tl (0.0000, 0.0000, 0.2326) (multiplicity 6)
In (0.0000, 0.0000, 0.5000) (multiplicity 3)

***

What is the ΔH_f (0 K) in the first record? -0.238 eV per atom